Below is an optimized crystal structure of RbMgNp, with properties calculated at the PBE level.

abc: 5.739 5.739 5.739
angles: 60.00 60.00 60.00
Fractional positions:
Rb (0.000, 0.000, 0.000)
Mg (0.750, 0.750, 0.750)
Np (0.250, 0.250, 0.250)

Calculated values
The total energy is -3.461 eV/atom. For the distance to the lowest polymorph of the same formula, the calculation gives 133 meV per atom. The total moment is 6.16 μB per formula unit.